No. 1
Entry from the Alexandria database: a relaxed Sr2MgTlO crystal (PBE).

Lattice parameters (Å, degrees): 5.391 5.391 4.309 90.00 90.00 90.00
Space group P4/mmm (No. 123)
Symmetry-distinct sites (fractional):
Sr 0.000 0.500 0.000
Mg 0.000 0.000 0.500
Tl 0.500 0.500 0.500
O 0.000 0.000 0.000

Calculated values
Its total energy is -3.62 eV/atom.

No. 2
Entry from the Alexandria database: a relaxed Sr3Mg2UO8 crystal (PBE).

Lattice parameters (Å, degrees): 5.8504 5.8504 7.4584 90.00 90.00 120.00
Space group P-3m1 (No. 164)
Symmetry-distinct sites (fractional):
Sr 0.0000 0.0000 0.0000
Sr 0.3333 0.6667 0.6483
Mg 0.3333 0.6667 0.1931
U 0.0000 0.0000 0.5000
O 0.1645 0.3291 0.3328
O 0.3333 0.6667 0.9434

Calculated values
Its total energy is -6.98 eV/atom.

No. 3
Entry from the Alexandria database: a relaxed SrMg2UO6 crystal (PBE).

Lattice parameters (Å, degrees): 5.5812 5.5812 14.8602 90.00 90.00 120.00
Space group R3 (No. 146, hexagonal axes)
Symmetry-distinct sites (fractional):
Sr 0.0000 0.0000 0.0000
Mg 0.0000 0.0000 0.2172
Mg 0.0000 0.0000 0.7320
U 0.0000 0.0000 0.5234
O 0.0134 0.3376 0.7947
O 0.0930 0.7332 0.2833

Calculated values
Its total energy is -7.51 eV/atom.